(1)
A relaxed structure of RbScZnO3. Source: the Open Quantum Materials Database, functional PBE.

abc: 8.5411 6.5876 6.5876
angles: 28.92 90.00 90.00
Fractional positions:
Rb 0.0000 0.7159 0.7159
Rb 0.5000 0.2841 0.2841
Zn 0.5000 0.5627 0.5627
Zn 0.0000 0.4373 0.4373
O 0.0000 0.0317 0.0317
O 0.5000 0.9683 0.9683
O 0.2878 0.6067 0.6067
O 0.7878 0.3933 0.3933
O 0.7122 0.6067 0.6067
O 0.2122 0.3933 0.3933
Sc 0.7500 0.0000 0.0000
Sc 0.2500 0.0000 0.0000

Properties
Total magnetic moment: 0.00 μB/f.u.
Space-group type: Cmcm (63)
Raw total energy: -6.099 eV/atom
Crystal system: orthorhombic

(2)
A relaxed structure of GdTmCd2Au4. Source: the Open Quantum Materials Database, functional PBE.

abc: 4.9254 4.9254 6.9671
angles: 90.00 90.00 90.00
Fractional positions:
Au 0.0000 0.5000 0.2572
Au 0.0000 0.5000 0.7428
Au 0.5000 0.0000 0.7428
Au 0.5000 0.0000 0.2572
Cd 0.5000 0.5000 0.0000
Cd 0.0000 0.0000 0.5000
Gd 0.0000 0.0000 0.0000
Tm 0.5000 0.5000 0.5000

Properties
Energy of formation: -5.413 eV/f.u.
Total magnetic moment: 0.00 μB/f.u.
Space-group type: P4/mmm (123)
Raw total energy: -3.675 eV/atom
Crystal system: tetragonal

(3)
A relaxed structure of Al2CuAu2. Source: the Open Quantum Materials Database, functional PBE.

abc: 6.6276 6.6276 6.6276
angles: 146.22 146.22 48.53
Fractional positions:
Au 0.6106 0.6106 0.0000
Au 0.3894 0.3894 0.0000
Cu 0.0000 0.0000 0.0000
Al 0.2500 0.7500 0.5000
Al 0.7500 0.2500 0.5000

Properties
Space-group type: I4/mmm (139)
Raw total energy: -3.592 eV/atom
Crystal system: tetragonal

(4)
A relaxed structure of DyTlAg. Source: the Open Quantum Materials Database, functional PBE.

abc: 4.9498 4.9498 4.9498
angles: 60.00 60.00 60.00
Fractional positions:
Dy 0.0000 0.0000 0.0000
Ag 0.2500 0.2500 0.2500
Tl 0.7500 0.7500 0.7500

Properties
Total magnetic moment: 0.00 μB/f.u.
Space-group type: F-43m (216)
Raw total energy: -3.121 eV/atom
Crystal system: cubic

(5)
A relaxed structure of Ir2C. Source: the Open Quantum Materials Database, functional PBE.

abc: 5.0993 5.0993 5.0993
angles: 60.00 60.00 60.00
Fractional positions:
Ir 0.1250 0.6250 0.6250
Ir 0.6250 0.6250 0.1250
Ir 0.6250 0.6250 0.6250
Ir 0.6250 0.1250 0.6250
C 0.0000 0.0000 0.0000
C 0.2500 0.2500 0.2500

Properties
Total magnetic moment: 0.22 μB/f.u.
Space-group type: Fd-3m (227)
Raw total energy: -6.330 eV/atom
Crystal system: cubic

(6)
A relaxed structure of PrDy2As3. Source: the Open Quantum Materials Database, functional PBE.

abc: 4.1782 4.1782 10.2261
angles: 90.00 90.00 120.00
Fractional positions:
As 0.0000 0.0000 0.0000
As 0.6667 0.3333 0.6767
As 0.3333 0.6667 0.3233
Pr 0.0000 0.0000 0.5000
Dy 0.3333 0.6667 0.8380
Dy 0.6667 0.3333 0.1620

Properties
Total magnetic moment: 0.01 μB/f.u.
Space-group type: P-3m1 (164)
Raw total energy: -6.172 eV/atom
Crystal system: trigonal